1.
First-principles (PBE) data for a geometry-optimized Nd8Ho3Tm4 structure, as listed in Alexandria.

Output
Calculated volume   506.79 Å³/cell
Energy of formation   495 kJ/mol of formula units
Magnetization   0.00 μB per formula unit
Crystal system   monoclinic
SG   No. 12

a b c (Å): 6.8544 9.3482 9.3482
angles (deg): 81.35 113.10 113.10
Positions (direct):
Nd1 0.7652 0.2954 0.2954
Nd2 0.0000 0.7053 0.2947
Nd3 0.1962 0.2430 0.2430
Nd4 0.5000 0.7544 0.2456
Nd5 0.5000 0.2456 0.7544
Nd6 0.8038 0.7570 0.7570
Nd7 0.0000 0.2947 0.7053
Nd8 0.2348 0.7046 0.7046
Ho1 0.5000 0.5000 0.0000
Ho2 0.5000 0.0000 0.5000
Ho3 0.5000 0.5000 0.5000
Tm1 0.5000 0.0000 0.0000
Tm2 0.0000 0.5000 0.0000
Tm3 0.0000 0.0000 0.0000
Tm4 0.0000 0.0000 0.5000

---

2.
First-principles (PBE) data for a geometry-optimized YEr2Tm2Sc2 structure, as listed in Alexandria.

Output
Calculated volume   208.25 Å³/cell
Energy of formation   122 kJ/mol of formula units
Magnetization   0.01 μB per formula unit
Crystal system   monoclinic
SG   No. 12

a b c (Å): 3.3746 8.7015 8.0853
angles (deg): 116.06 90.00 101.18
Positions (direct):
Y1 0.0000 0.0000 0.5000
Er1 0.5722 0.1443 0.9152
Er2 0.4278 0.8557 0.0848
Tm1 0.2111 0.4223 0.7917
Tm2 0.7889 0.5777 0.2083
Sc1 0.6521 0.3041 0.3932
Sc2 0.3479 0.6959 0.6068

---

3.
First-principles (PBE) data for a geometry-optimized ZrMoRu structure, as listed in Alexandria.

Output
Calculated volume   213.94 Å³/cell
Polymorph energy (0 for the lowest one)   455 meV per atom
Energy of formation   70 kJ/mol of formula units
Magnetization   0.00 μB per formula unit
Crystal system   orthorhombic
SG   No. 70

a b c (Å): 4.9715 5.0217 10.1712
angles (deg): 83.05 75.85 60.33
Positions (direct):
Ru1 0.1853 0.5000 0.6294
Ru2 0.3147 0.5000 0.3706
Ru3 0.5647 0.0000 0.8706
Ru4 0.4353 0.0000 0.1294
Mo1 0.6253 0.5000 0.7495
Mo2 0.8747 0.5000 0.2505
Mo3 0.1247 0.0000 0.7505
Mo4 0.8753 0.0000 0.2495
Zr1 0.9206 0.1588 0.5000
Zr2 0.5794 0.8412 0.5000
Zr3 0.8294 0.3412 0.0000
Zr4 0.1706 0.6588 0.0000

---

4.
First-principles (PBE) data for a geometry-optimized NaSrV structure, as listed in Alexandria.

Output
Calculated volume   225.74 Å³/cell
Polymorph energy (0 for the lowest one)   615 meV per atom
Energy of formation   292 kJ/mol of formula units
Magnetization   4.47 μB per formula unit
Crystal system   tetragonal
SG   No. 129

a b c (Å): 5.1142 5.1142 8.6309
angles (deg): 90.00 90.00 90.00
Positions (direct):
Sr1 0.0000 0.0000 0.5000
Sr2 0.5000 0.5000 0.5000
V1 0.0000 0.5000 0.7669
V2 0.5000 0.0000 0.2331
Na1 0.0000 0.5000 0.1494
Na2 0.5000 0.0000 0.8506

---

5.
First-principles (PBE) data for a geometry-optimized InPt structure, as listed in Alexandria.

Output
Calculated volume   74.09 Å³/cell
Energy of formation   -78 kJ/mol of formula units
Magnetization   0.00 μB per formula unit
Crystal system   monoclinic
SG   No. 12

a b c (Å): 5.2210 5.8130 5.8130
angles (deg): 144.27 132.90 61.89
Positions (direct):
In1 0.9634 0.9935 0.9699
In2 0.1199 0.7565 0.3634
Pt1 0.4741 0.4956 0.9786
Pt2 0.6092 0.2544 0.3548

---

6.
First-principles (PBE) data for a geometry-optimized La2SmY6Tm3 structure, as listed in Alexandria.

Output
Calculated volume   390.98 Å³/cell
Energy of formation   31 kJ/mol of formula units
Magnetization   0.00 μB per formula unit
Crystal system   monoclinic
SG   No. 12

a b c (Å): 6.2182 6.2182 11.8574
angles (deg): 95.01 95.01 119.99
Positions (direct):
La1 0.3335 0.6665 0.0000
La2 0.6665 0.3335 0.0000
Sm1 0.0000 0.0000 0.0000
Y1 0.9143 0.5816 0.7440
Y2 0.7532 0.7532 0.2560
Y3 0.0857 0.4184 0.2560
Y4 0.5816 0.9143 0.7440
Y5 0.2468 0.2468 0.7440
Y6 0.4184 0.0857 0.2560
Tm1 0.1665 0.8335 0.5000
Tm2 0.8335 0.1665 0.5000
Tm3 0.5000 0.5000 0.5000

---

7.
First-principles (PBE) data for a geometry-optimized ScMoP2 structure, as listed in Alexandria.

Output
Calculated volume   66.11 Å³/cell
Polymorph energy (0 for the lowest one)   194 meV per atom
Energy of formation   -263 kJ/mol of formula units
Magnetization   0.23 μB per formula unit
Crystal system   tetragonal
SG   No. 123

a b c (Å): 3.6128 3.6128 5.0646
angles (deg): 90.00 90.00 90.00
Positions (direct):
Mo1 0.5000 0.5000 0.8751
P1 0.0000 0.0000 0.8749
P2 0.5000 0.5000 0.3750
Sc1 0.0000 0.0000 0.3749

---

8.
First-principles (PBE) data for a geometry-optimized TaPCl2 structure, as listed in Alexandria.

Output
Calculated volume   93.49 Å³/cell
Polymorph energy (0 for the lowest one)   21 meV per atom
Magnetization   0.00 μB per formula unit
Crystal system   monoclinic
SG   No. 6
ΔE_f (raw)   -0.627 eV/atom

a b c (Å): 3.2841 3.6281 8.0434
angles (deg): 77.31 90.00 90.00
Positions (direct):
Cl1 0.0000 0.8598 0.9127
Cl2 0.5000 0.1339 0.3464
P1 0.0000 0.5227 0.5798
Ta1 0.5000 0.9836 0.6610